A relaxed Nd2OsPd crystal. Source: Alexandria, functional PBE.

Output
Crystal system: tetragonal
Formation energy in eV per atom: -0.35
SG: P4/mmm

Lattice parameters (Å, degrees): 3.523 3.523 7.346 90.00 90.00 90.00
Positions (direct):
Nd (0.000, 0.000, 0.238)
Nd (0.000, 0.000, 0.762)
Os (0.500, 0.500, 0.000)
Pd (0.500, 0.500, 0.500)

A relaxed RbMg4Cd8 crystal. Source: Alexandria, functional PBE.

Output
Crystal system: tetragonal
Formation energy in eV per atom: -0.06
SG: I4/mmm

Lattice parameters (Å, degrees): 7.850 7.850 7.850 98.75 98.75 134.10
Positions (direct):
Rb (0.000, 0.000, 0.000)
Mg (0.000, 0.000, 0.500)
Mg (0.000, 0.500, 0.000)
Mg (0.500, 0.000, 0.000)
Mg (0.500, 0.500, 0.500)
Cd (0.000, 0.350, 0.350)
Cd (0.000, 0.650, 0.650)
Cd (0.276, 0.500, 0.776)
Cd (0.350, 0.000, 0.350)
Cd (0.500, 0.276, 0.776)
Cd (0.500, 0.724, 0.224)
Cd (0.650, 0.000, 0.650)
Cd (0.724, 0.500, 0.224)

A relaxed LaZrAu3 crystal. Source: Alexandria, functional PBE.

Output
Crystal system: cubic
Formation energy in eV per atom: 0.68
SG: Pm-3m

Lattice parameters (Å, degrees): 5.351 5.351 5.351 90.00 90.00 90.00
Positions (direct):
La (0.000, 0.000, 0.000)
Zr (0.500, 0.500, 0.500)
Au (0.000, 0.000, 0.500)
Au (0.000, 0.500, 0.000)
Au (0.500, 0.000, 0.000)

A relaxed TbPm2SmEr4 crystal. Source: Alexandria, functional PBE.

Output
Crystal system: orthorhombic
Formation energy in eV per atom: 0.43
SG: Imma

Lattice parameters (Å, degrees): 9.498 9.498 9.498 138.05 103.33 91.48
Positions (direct):
Tb (0.500, 0.000, 0.000)
Tb (0.500, 0.500, 0.500)
Pm (0.000, 0.000, 0.000)
Pm (0.000, 0.000, 0.500)
Pm (0.000, 0.500, 0.000)
Pm (0.500, 0.000, 0.500)
Sm (0.000, 0.500, 0.500)
Sm (0.500, 0.500, 0.000)
Er (0.252, 0.250, 0.002)
Er (0.252, 0.252, 0.500)
Er (0.252, 0.750, 0.502)
Er (0.252, 0.752, 0.000)
Er (0.748, 0.248, 0.000)
Er (0.748, 0.250, 0.498)
Er (0.748, 0.748, 0.500)
Er (0.748, 0.750, 0.998)

A relaxed K2SbSe crystal. Source: Alexandria, functional PBE.

Output
Crystal system: cubic
Formation energy (no corrections) in eV per formula unit: -0.91
SG: F-43m

Lattice parameters (Å, degrees): 5.675 5.675 5.675 60.00 60.00 60.00
Positions (direct):
K (0.000, 0.000, 0.000)
K (0.250, 0.250, 0.250)
Sb (0.750, 0.750, 0.750)
Se (0.500, 0.500, 0.500)

A relaxed RbSrTe2 crystal. Source: Alexandria, functional PBE.

Output
Crystal system: tetragonal
Formation energy (no corrections) in eV per formula unit: -4.48
SG: P4/mmm

Lattice parameters (Å, degrees): 4.348 4.348 7.916 90.00 90.00 90.00
Positions (direct):
Rb (0.000, 0.000, 0.000)
Sr (0.000, 0.000, 0.500)
Te (0.500, 0.500, 0.286)
Te (0.500, 0.500, 0.714)